Record 1
First-principles (PBE) data for a relaxed structure of Pr4OsBr5, as listed in Alexandria via LeMat-Bulk.

Lattice parameters (Å, degrees): 9.727 9.727 9.030 104.58 104.58 25.06
Element x y z (fractional)
Pr: 0.001 0.001 0.223
Pr: 0.353 0.353 0.916
Pr: 0.647 0.647 0.084
Pr: 0.999 0.999 0.777
Os: 0.500 0.500 0.000
Br: 0.168 0.168 0.335
Br: 0.172 0.172 0.850
Br: 0.500 0.500 0.500
Br: 0.828 0.828 0.150
Br: 0.832 0.832 0.665

Properties
Total energy = -5.214 eV per atom
Crystal system = monoclinic
Space-group type = C2/m, No. 12
Uncorrected formation energy = -1343 meV/atom
Magnetization = 0.1 μB per formula unit

***

Record 2
First-principles (PBE) data for a relaxed structure of LiMo2IN, as listed in Alexandria via LeMat-Bulk.

Lattice parameters (Å, degrees): 4.596 4.596 3.381 90.00 90.00 90.00
Element x y z (fractional)
Li: 0.000 0.000 0.000
Mo: 0.000 0.500 0.000
Mo: 0.500 0.000 0.000
I: 0.500 0.500 0.500
N: 0.000 0.000 0.500

Properties
Total energy = -5.243 eV per atom
Crystal system = tetragonal
Space-group type = P4/mmm, No. 123
Uncorrected formation energy = 1447 meV/atom
Magnetization = 0.0 μB per formula unit

***

Record 3
First-principles (PBE) data for a relaxed structure of ReHg2Te, as listed in Alexandria via LeMat-Bulk.

Lattice parameters (Å, degrees): 3.122 3.122 10.997 90.00 90.00 118.97
Element x y z (fractional)
Re: 0.000 0.000 0.000
Hg: 0.000 0.000 0.485
Hg: 0.500 0.500 0.219
Te: 0.500 0.500 0.809

Properties
Total energy = -3.428 eV per atom
Crystal system = orthorhombic
Space-group type = Cmm2, No. 35
Uncorrected formation energy = 621 meV/atom
Magnetization = 0.0 μB per formula unit